The following is a DFT calculation (PBE) of a relaxed Sm4HoSc crystal.

Structure (extended XYZ):
```
6
Lattice="-0.3739 -3.3652 -0.5640 4.1336 -1.5887 6.7383 -6.8834 0.0610 4.1986" Properties=species:S:1:pos:R:3 pbc="T T T"
Sc -1.3749 -0.7638 5.4684
Ho -0.1869 -1.6826 -0.2820
Sm -2.0736 -1.1522 8.2482
Sm 1.0005 -2.8301 5.7769
Sm -1.0501 -3.7407 2.1247
Sm -4.1242 -2.0628 4.5960
```

Energy above the most stable polymorph in this dataset: 572 meV per atom
Total magnetization: 0.00 μB per cell
DOS at the Fermi energy: 9.03 states/eV/cell
Energy relative to the elements: 0.61 eV/atom
Mass density: 6.0 g cm⁻³